Computed, not measured: a PBEsol-optimized structure of HfP2Os at the SCAN level of DFT.

Unit cell a=4.317 b=4.317 c=4.317 alpha=60.00 beta=60.00 gamma=60.00
Element x y z (fractional)
Hf  0.000  0.000  0.000
Os  0.500  0.500  0.500
P  0.250  0.250  0.250
P  0.750  0.750  0.750

## Properties
The symmetry is Fm-3m (225). The value obtained for the calculated formation energy is -267.3 meV per atom. For the uncorrected energy, the calculation gives -2.8742 Ry/atom.


Computed, not measured: a PBEsol-optimized structure of HfOsPt2Pb at the SCAN level of DFT.

Unit cell a=4.832 b=4.832 c=4.925 alpha=90.00 beta=90.00 gamma=90.00
Element x y z (fractional)
Pb  0.000  0.000  0.000
Hf  0.500  0.500  0.500
Os  0.000  0.000  0.500
Pt  0.000  0.500  0.000
Pt  0.500  0.000  0.000

## Properties
The symmetry is P4/mmm (123). The value obtained for the calculated formation energy is 1630.3 meV per atom. For the uncorrected energy, the calculation gives -5.0357 Ry/atom.


Computed, not measured: a PBEsol-optimized structure of Hf2OsPd at the SCAN level of DFT.

Unit cell a=4.591 b=4.591 c=4.591 alpha=60.00 beta=60.00 gamma=60.00
Element x y z (fractional)
Os  0.500  0.500  0.500
Hf  0.250  0.250  0.250
Hf  0.750  0.750  0.750
Pd  0.000  0.000  0.000

## Properties
The symmetry is Fm-3m (225). The value obtained for the calculated formation energy is -812.1 meV per atom. For the uncorrected energy, the calculation gives -4.2859 Ry/atom.


Computed, not measured: a PBEsol-optimized structure of Hf2OsPdW at the SCAN level of DFT.

Unit cell a=4.720 b=4.821 c=4.821 alpha=90.00 beta=90.00 gamma=90.00
Element x y z (fractional)
Hf  0.000  0.000  0.500
Hf  0.000  0.500  0.000
Os  0.000  0.000  0.000
Pd  0.500  0.000  0.000
W  0.500  0.500  0.500

## Properties
The symmetry is P4/mmm (123). The value obtained for the calculated formation energy is 1285.6 meV per atom. For the uncorrected energy, the calculation gives -4.3108 Ry/atom.


Computed, not measured: a PBEsol-optimized structure of HfOsPt2 at the SCAN level of DFT.

Unit cell a=4.499 b=4.499 c=4.499 alpha=60.00 beta=60.00 gamma=60.00
Element x y z (fractional)
Hf  0.000  0.000  0.000
Os  0.500  0.500  0.500
Pt  0.250  0.250  0.250
Pt  0.750  0.750  0.750

## Properties
The symmetry is Fm-3m (225). The value obtained for the calculated formation energy is -265.9 meV per atom. For the uncorrected energy, the calculation gives -5.0715 Ry/atom.


Computed, not measured: a PBEsol-optimized structure of HfTeOsPt2 at the SCAN level of DFT.

Unit cell a=4.743 b=4.743 c=5.036 alpha=90.00 beta=90.00 gamma=90.00
Element x y z (fractional)
Hf  0.500  0.500  0.500
Te  0.000  0.000  0.500
Os  0.000  0.000  0.000
Pt  0.000  0.500  0.000
Pt  0.500  0.000  0.000

## Properties
The symmetry is P4/mmm (123). As for the energy relative to the elements, uncorrected: 1.00 eV per atom. For the uncorrected energy, the calculation gives -4.5158 Ry/atom.


Computed, not measured: a PBEsol-optimized structure of Hf3ReOs at the SCAN level of DFT.

Unit cell a=4.846 b=4.846 c=4.846 alpha=90.00 beta=90.00 gamma=90.00
Element x y z (fractional)
Re  0.000  0.000  0.000
Hf  0.000  0.500  0.000
Hf  0.000  0.000  0.500
Hf  0.500  0.000  0.000
Os  0.500  0.500  0.500

## Properties
The symmetry is Pm-3m (221). The value obtained for the calculated formation energy is 1072.2 meV per atom. For the uncorrected energy, the calculation gives -4.7868 Ry/atom.


Computed, not measured: a PBEsol-optimized structure of HfRe2TcOs at the SCAN level of DFT.

Unit cell a=4.622 b=4.622 c=4.811 alpha=90.00 beta=90.00 gamma=90.00
Element x y z (fractional)
Re  0.000  0.500  0.000
Re  0.500  0.000  0.000
Hf  0.000  0.000  0.500
Os  0.000  0.000  0.000
Tc  0.500  0.500  0.500

## Properties
The symmetry is P4/mmm (123). The value obtained for the calculated formation energy is 1741.0 meV per atom. For the uncorrected energy, the calculation gives -4.4555 Ry/atom.


- Which of these has the highest uncorrected energy?
  HfP2Os